# AcVSiO6 | Alexandria | PBE+U | relaxed
data_AcVSiO6
_symmetry_space_group_name_H-M 'P 3 1 2'
_symmetry_Int_Tables_number 149
_symmetry_space_group_name_Hall 'P 3 2'
_cell_length_a 4.9602
_cell_length_b 4.9602
_cell_length_c 5.3490
_cell_angle_alpha 90.00
_cell_angle_beta 90.00
_cell_angle_gamma 120.00
loop_
_atom_site_label
_atom_site_fract_x
_atom_site_fract_y
_atom_site_fract_z
Ac1 0.0000 0.0000 0.0000
V1 0.3333 0.6667 0.5000
Si1 0.6667 0.3333 0.5000
O1 0.3972 0.0141 0.6946
# DFT total energy (eV per atom): -7.830
# Size of the total moment (μB per formula unit): 0.0